(1)
# DyGe2PdRh | Alexandria | PBE | relaxed
data_DyGe2PdRh
_chemical_formula_sum 'Dy1 Ge2 Pd1 Rh1'
_cell_length_a 4.1616
_cell_length_b 4.1616
_cell_length_c 5.9785
_cell_angle_alpha 110.37
_cell_angle_beta 110.37
_cell_angle_gamma 90.00
_symmetry_space_group_name_H-M 'P 1'
_symmetry_Int_Tables_number 1
_symmetry_space_group_name_Hall 'P 1'
loop_
_atom_site_label
_atom_site_type_symbol
_atom_site_fract_x
_atom_site_fract_y
_atom_site_fract_z
_atom_site_occupancy
Pd1 Pd 0.2500 0.7500 0.5000 1
Dy1 Dy 0.0000 0.0000 0.0000 1
Ge1 Ge 0.6176 0.6176 0.2352 1
Ge2 Ge 0.3824 0.3824 0.7648 1
Rh1 Rh 0.7500 0.2500 0.5000 1
# SG = I-4m2, No. 119
# calculated volume = 90 Å³/cell
# energy of formation = -0.805 eV/atom
# total moment = 0.00 μB/cell
# theoretical density = 9.5 g/cm3



(2)
# SiHg4As | Alexandria | PBE | relaxed
data_SiHg4As
_chemical_formula_sum 'Si1 Hg4 As1'
_cell_length_a 5.8794
_cell_length_b 5.8794
_cell_length_c 5.8794
_cell_angle_alpha 60.00
_cell_angle_beta 60.00
_cell_angle_gamma 60.00
_symmetry_space_group_name_H-M 'P 1'
_symmetry_Int_Tables_number 1
_symmetry_space_group_name_Hall 'P 1'
loop_
_atom_site_label
_atom_site_type_symbol
_atom_site_fract_x
_atom_site_fract_y
_atom_site_fract_z
_atom_site_occupancy
Si1 Si 0.7500 0.7500 0.7500 1
Hg1 Hg 0.3751 0.3751 0.8747 1
Hg2 Hg 0.3751 0.8747 0.3751 1
Hg3 Hg 0.3751 0.3751 0.3751 1
Hg4 Hg 0.8747 0.3751 0.3751 1
As1 As 0.0000 0.0000 0.0000 1
# SG = F-43m, No. 216
# calculated volume = 144 Å³/cell
# uncorrected formation energy = 3.90 eV/f.u.
# total moment = 0.00 μB/cell
# theoretical density = 10.5 g/cm3



(3)
# NpSc2N3 | Alexandria | PBE | relaxed
data_NpSc2N3
_chemical_formula_sum 'Np4 Sc8 N12'
_cell_length_a 4.6633
_cell_length_b 6.5710
_cell_length_c 9.8460
_cell_angle_alpha 90.00
_cell_angle_beta 90.00
_cell_angle_gamma 90.00
_symmetry_space_group_name_H-M 'P 1'
_symmetry_Int_Tables_number 1
_symmetry_space_group_name_Hall 'P 1'
loop_
_atom_site_label
_atom_site_type_symbol
_atom_site_fract_x
_atom_site_fract_y
_atom_site_fract_z
_atom_site_occupancy
Sc1 Sc 0.7499 0.1196 0.2526 1
Sc2 Sc 0.2500 0.3772 0.0831 1
Sc3 Sc 0.2501 0.3804 0.7526 1
Sc4 Sc 0.7500 0.6228 0.9169 1
Sc5 Sc 0.2501 0.8804 0.7474 1
Sc6 Sc 0.7500 0.1228 0.5831 1
Sc7 Sc 0.2500 0.8772 0.4169 1
Sc8 Sc 0.7499 0.6196 0.2474 1
Np1 Np 0.7501 0.6290 0.5835 1
Np2 Np 0.2499 0.3710 0.4165 1
Np3 Np 0.7501 0.1290 0.9165 1
Np4 Np 0.2499 0.8710 0.0835 1
N1 N 0.2499 0.6208 0.2494 1
N2 N 0.7499 0.3656 0.4119 1
N3 N 0.7500 0.8715 0.4199 1
N4 N 0.2501 0.1344 0.9119 1
N5 N 0.7500 0.3715 0.0801 1
N6 N 0.2500 0.1285 0.5801 1
N7 N 0.2500 0.6285 0.9199 1
N8 N 0.2501 0.6344 0.5881 1
N9 N 0.7501 0.8792 0.7494 1
N10 N 0.2499 0.1208 0.2506 1
N11 N 0.7501 0.3792 0.7506 1
N12 N 0.7499 0.8656 0.0881 1
# SG = Pnma, No. 62
# calculated volume = 302 Å³/cell
# uncorrected formation energy = -9.64 eV/f.u.
# total moment = 12.39 μB/cell
# theoretical density = 8.1 g/cm3



(4)
# Nd2AuO4 | Alexandria | PBE | relaxed
data_Nd2AuO4
_chemical_formula_sum 'Nd4 Au2 O8'
_cell_length_a 5.8911
_cell_length_b 5.8968
_cell_length_c 6.9153
_cell_angle_alpha 115.24
_cell_angle_beta 90.00
_cell_angle_gamma 90.00
_symmetry_space_group_name_H-M 'P 1'
_symmetry_Int_Tables_number 1
_symmetry_space_group_name_Hall 'P 1'
loop_
_atom_site_label
_atom_site_type_symbol
_atom_site_fract_x
_atom_site_fract_y
_atom_site_fract_z
_atom_site_occupancy
O1 O 0.1815 0.3194 0.0000 1
O2 O 0.2500 0.4887 0.5000 1
O3 O 0.3185 0.8194 0.0000 1
O4 O 0.2500 0.9887 0.5000 1
O5 O 0.7500 0.5113 0.5000 1
O6 O 0.7500 0.0113 0.5000 1
O7 O 0.6815 0.1806 0.0000 1
O8 O 0.8185 0.6806 0.0000 1
Nd1 Nd 0.0000 0.6583 0.3165 1
Nd2 Nd 0.5000 0.1583 0.3165 1
Nd3 Nd 0.0000 0.3417 0.6835 1
Nd4 Nd 0.5000 0.8417 0.6835 1
Au1 Au 0.5000 0.5000 0.0000 1
Au2 Au 0.0000 0.0000 0.0000 1
# SG = Cmce, No. 64
# calculated volume = 217 Å³/cell
# uncorrected formation energy = -16.91 eV/f.u.
# total moment = 0.00 μB/cell
# theoretical density = 8.4 g/cm3



(5)
# NiSn5Pd | Alexandria | PBE | relaxed
data_NiSn5Pd
_chemical_formula_sum 'Ni2 Sn10 Pd2'
_cell_length_a 6.6011
_cell_length_b 6.6011
_cell_length_c 9.5717
_cell_angle_alpha 70.29
_cell_angle_beta 70.29
_cell_angle_gamma 64.62
_symmetry_space_group_name_H-M 'P 1'
_symmetry_Int_Tables_number 1
_symmetry_space_group_name_Hall 'P 1'
loop_
_atom_site_label
_atom_site_type_symbol
_atom_site_fract_x
_atom_site_fract_y
_atom_site_fract_z
_atom_site_occupancy
Sn1 Sn 0.3454 0.1287 0.3789 1
Sn2 Sn 0.5550 0.2285 0.0265 1
Sn3 Sn 0.4450 0.7715 0.9735 1
Sn4 Sn 0.6546 0.8713 0.6211 1
Sn5 Sn 0.7715 0.4450 0.4735 1
Sn6 Sn 0.2285 0.5550 0.5265 1
Sn7 Sn 0.8713 0.6546 0.1211 1
Sn8 Sn 0.0736 0.9264 0.7500 1
Sn9 Sn 0.1287 0.3454 0.8789 1
Sn10 Sn 0.9264 0.0736 0.2500 1
Pd1 Pd 0.4722 0.5278 0.7500 1
Pd2 Pd 0.5278 0.4722 0.2500 1
Ni1 Ni 0.0000 0.0000 0.0000 1
Ni2 Ni 0.0000 0.0000 0.5000 1
# SG = C2/c, No. 15
# calculated volume = 346 Å³/cell
# energy of formation = -0.099 eV/atom
# total moment = 0.00 μB/cell
# theoretical density = 7.3 g/cm3



(6)
# AlTcMo2 | Alexandria | PBE | relaxed
data_AlTcMo2
_chemical_formula_sum 'Al1 Tc1 Mo2'
_cell_length_a 5.1630
_cell_length_b 5.1507
_cell_length_c 2.7286
_cell_angle_alpha 81.16
_cell_angle_beta 77.17
_cell_angle_gamma 116.26
_symmetry_space_group_name_H-M 'P 1'
_symmetry_Int_Tables_number 1
_symmetry_space_group_name_Hall 'P 1'
loop_
_atom_site_label
_atom_site_type_symbol
_atom_site_fract_x
_atom_site_fract_y
_atom_site_fract_z
_atom_site_occupancy
Mo1 Mo 0.0000 0.0000 0.0000 1
Mo2 Mo 0.5000 0.0000 0.5000 1
Al1 Al 0.5000 0.5000 0.0000 1
Tc1 Tc 0.0000 0.5000 0.5000 1
# SG = C2/m, No. 12
# calculated volume = 61 Å³/cell
# energy of formation = -0.062 eV/atom
# total moment = 0.00 μB/cell
# theoretical density = 8.7 g/cm3



(7)
# Sc6CdCo | Alexandria | PBE | relaxed
data_Sc6CdCo
_chemical_formula_sum 'Sc6 Cd1 Co1'
_cell_length_a 6.1116
_cell_length_b 6.1116
_cell_length_c 6.0642
_cell_angle_alpha 101.89
_cell_angle_beta 101.89
_cell_angle_gamma 115.88
_symmetry_space_group_name_H-M 'P 1'
_symmetry_Int_Tables_number 1
_symmetry_space_group_name_Hall 'P 1'
loop_
_atom_site_label
_atom_site_type_symbol
_atom_site_fract_x
_atom_site_fract_y
_atom_site_fract_z
_atom_site_occupancy
Sc1 Sc 0.4969 0.8963 0.7399 1
Sc2 Sc 0.5031 0.1037 0.2601 1
Sc3 Sc 0.2701 0.2701 0.7105 1
Sc4 Sc 0.1037 0.5031 0.2601 1
Sc5 Sc 0.7299 0.7299 0.2895 1
Sc6 Sc 0.8963 0.4969 0.7399 1
Co1 Co 0.5000 0.5000 0.5000 1
Cd1 Cd 0.0000 0.0000 0.0000 1
# SG = C2/m, No. 12
# calculated volume = 188 Å³/cell
# energy of formation = 0.049 eV/atom
# total moment = 0.00 μB/cell
# theoretical density = 3.9 g/cm3



(8)
# ScBeOs2 | Alexandria | PBE | relaxed
data_ScBeOs2
_chemical_formula_sum 'Sc1 Be1 Os2'
_cell_length_a 4.2153
_cell_length_b 2.8769
_cell_length_c 4.9537
_cell_angle_alpha 75.58
_cell_angle_beta 90.00
_cell_angle_gamma 90.00
_symmetry_space_group_name_H-M 'P 1'
_symmetry_Int_Tables_number 1
_symmetry_space_group_name_Hall 'P 1'
loop_
_atom_site_label
_atom_site_type_symbol
_atom_site_fract_x
_atom_site_fract_y
_atom_site_fract_z
_atom_site_occupancy
Os1 Os 0.0000 0.8640 0.0152 1
Os2 Os 0.5000 0.2325 0.1943 1
Sc1 Sc 0.0000 0.4918 0.5391 1
Be1 Be 0.5000 0.9117 0.7514 1
# SG = Pm, No. 6
# calculated volume = 58 Å³/cell
# energy of formation = -0.068 eV/atom
# total moment = 0.00 μB/cell
# theoretical density = 12.4 g/cm3